Record 1
Entry from Alexandria via LeMat-Bulk: crystalline Pm2SiF at its relaxed geometry (PBE).

VASP energy   -5.7614 eV per atom
Spin magnetization   0.0 μB/cell
Offset from the most stable computed form   0.065 eV per atom
ΔE_f (raw)   -1.56 eV per atom

```
Pm2SiF
1.0
2.1854 1.2617 7.5490
-2.1854 1.2617 7.5490
0.0000 -2.5235 7.5490
Pm Si F
2 1 1
direct
0.1013 0.1013 0.1013
0.8987 0.8987 0.8987
0.5000 0.5000 0.5000
0.0000 0.0000 0.0000
```

Record 2
Entry from Alexandria via LeMat-Bulk: crystalline DyHoAs2 at its relaxed geometry (PBE).

VASP energy   -6.1527 eV per atom
Spin magnetization   0.0 μB/cell
Formation energy   -1.53 eV/atom
Offset from the most stable computed form   0.002 eV per atom

```
DyHoAs2
1.0
2.0556 1.1868 6.7056
-2.0556 1.1868 6.7056
0.0000 -2.3736 6.7056
Dy Ho As
1 1 2
direct
0.0000 0.0000 0.0000
0.5000 0.5000 0.5000
0.2496 0.2496 0.2496
0.7504 0.7504 0.7504
```

Record 3
Entry from Alexandria via LeMat-Bulk: crystalline Fe2CoIr3 at its relaxed geometry (PBE).

VASP energy   -8.4592 eV per atom
Spin magnetization   6.5 μB/cell
Formation energy   -0.02 eV/atom

```
Fe2CoIr3
1.0
1.8963 -5.6959 0.0000
1.8963 5.6959 0.0000
0.0000 0.0000 7.2240
Fe Co Ir
4 2 6
direct
0.0000 0.0000 0.0000
0.0000 0.0000 0.5000
0.3365 0.6635 0.0000
0.6635 0.3365 0.0000
0.3284 0.6716 0.5000
0.6716 0.3284 0.5000
0.1667 0.8333 0.2510
0.1667 0.8333 0.7490
0.5000 0.5000 0.2530
0.5000 0.5000 0.7470
0.8333 0.1667 0.2510
0.8333 0.1667 0.7490
```

Record 4
Entry from Alexandria via LeMat-Bulk: crystalline Sm2Er3In4 at its relaxed geometry (PBE).

VASP energy   -4.0723 eV per atom
Spin magnetization   0.0 μB/cell
Formation energy   -0.29 eV/atom

```
Sm2Er3In4
1.0
3.5083 -8.2876 0.0000
3.5083 8.2876 0.0000
0.0000 0.0000 9.0569
Sm Er In
4 6 8
direct
0.1095 0.8905 0.9225
0.3905 0.6095 0.4225
0.6095 0.3905 0.5775
0.8905 0.1095 0.0775
0.0000 0.0000 0.5000
0.0330 0.4670 0.7500
0.4670 0.0330 0.2500
0.5000 0.5000 0.0000
0.5330 0.9670 0.7500
0.9670 0.5330 0.2500
0.1839 0.8161 0.5405
0.2163 0.2837 0.7500
0.2837 0.2163 0.2500
0.3161 0.6839 0.0405
0.6839 0.3161 0.9595
0.7163 0.7837 0.7500
0.7837 0.7163 0.2500
0.8161 0.1839 0.4595
```

Q: What is the spin magnetization in the third record?
A: 6.5 μB/cell

Q: What is the VASP energy in the fourth record?
A: -4.0723 eV per atom

Q: Among the records above, which one has the highest spin magnetization?
A: Fe2CoIr3

Q: VASP energy of number 4 (Sm2Er3In4)?
A: -4.0723 eV per atom